Computed, not measured: a relaxed structure of MnPAuC at the PBE level of DFT.

Geometry as CIF:
```
data_MnPAuC
_cell_length_a 3.897
_cell_length_b 3.897
_cell_length_c 13.454
_cell_angle_alpha 90.00
_cell_angle_beta 90.00
_cell_angle_gamma 120.00
_space_group_name_H-M_alt 'P 1'
_space_group_IT_number 1
loop_
_space_group_symop_operation_xyz
'x,y,z'
loop_
_atom_site_label
_atom_site_type_symbol
_atom_site_fract_x
_atom_site_fract_y
_atom_site_fract_z
Mn1 Mn 0.000 0.000 0.000
Mn2 Mn 0.333 0.667 0.667
Mn3 Mn 0.667 0.333 0.333
P1 P 0.000 0.000 0.727
P2 P 0.333 0.667 0.394
P3 P 0.667 0.333 0.060
Au1 Au 0.000 0.000 0.215
Au2 Au 0.333 0.667 0.882
Au3 Au 0.667 0.333 0.549
C1 C 0.000 0.000 0.859
C2 C 0.333 0.667 0.525
C3 C 0.667 0.333 0.192
```

Results
Symmetry: R3m (160)
Energy relative to the elements, eV per atom: 0.504
Total energy, eV/atom: -6.266
Energy above the lowest structure with this stoichiometry, kJ/mol of formula units: 96
Crystal system: trigonal

=====

Computed, not measured: a relaxed structure of MnPAuC at the PBE level of DFT.

Geometry as CIF:
```
data_MnPAuC
_cell_length_a 3.006
_cell_length_b 3.367
_cell_length_c 5.739
_cell_angle_alpha 84.23
_cell_angle_beta 82.39
_cell_angle_gamma 66.91
_space_group_name_H-M_alt 'P 1'
_space_group_IT_number 1
loop_
_space_group_symop_operation_xyz
'x,y,z'
loop_
_atom_site_label
_atom_site_type_symbol
_atom_site_fract_x
_atom_site_fract_y
_atom_site_fract_z
Mn1 Mn 0.000 0.000 0.000
P1 P 0.431 0.945 0.301
Au1 Au 0.327 0.441 0.635
C1 C 0.680 0.612 0.036
```

Results
Symmetry: P1 (1)
Energy relative to the elements, eV per atom: 0.438
Total energy, eV/atom: -6.332
Energy above the lowest structure with this stoichiometry, kJ/mol of formula units: 71
Crystal system: triclinic

=====

Computed, not measured: a relaxed structure of MnPAuC at the PBE level of DFT.

Geometry as CIF:
```
data_MnPAuC
_cell_length_a 3.107
_cell_length_b 3.389
_cell_length_c 5.576
_cell_angle_alpha 90.00
_cell_angle_beta 90.00
_cell_angle_gamma 90.00
_space_group_name_H-M_alt 'P 1'
_space_group_IT_number 1
loop_
_space_group_symop_operation_xyz
'x,y,z'
loop_
_atom_site_label
_atom_site_type_symbol
_atom_site_fract_x
_atom_site_fract_y
_atom_site_fract_z
Mn1 Mn 0.000 0.000 0.000
P1 P 0.500 0.000 0.719
Au1 Au 0.500 0.500 0.399
C1 C 0.000 0.500 0.116
```

Results
Symmetry: Pmm2 (25)
Energy relative to the elements, eV per atom: 0.521
Total energy, eV/atom: -6.249
Energy above the lowest structure with this stoichiometry, kJ/mol of formula units: 103
Crystal system: orthorhombic

=====

Computed, not measured: a relaxed structure of MnPAuC at the PBE level of DFT.

Geometry as CIF:
```
data_MnPAuC
_cell_length_a 3.120
_cell_length_b 3.141
_cell_length_c 6.716
_cell_angle_alpha 76.56
_cell_angle_beta 76.61
_cell_angle_gamma 60.50
_space_group_name_H-M_alt 'P 1'
_space_group_IT_number 1
loop_
_space_group_symop_operation_xyz
'x,y,z'
loop_
_atom_site_label
_atom_site_type_symbol
_atom_site_fract_x
_atom_site_fract_y
_atom_site_fract_z
Mn1 Mn 0.000 0.000 0.000
P1 P 0.411 0.414 0.765
Au1 Au 0.533 0.536 0.399
C1 C 0.642 0.637 0.074
```

Results
Symmetry: P1 (1)
Energy relative to the elements, eV per atom: 0.374
Total energy, eV/atom: -6.396
Energy above the lowest structure with this stoichiometry, kJ/mol of formula units: 46
Crystal system: triclinic

=====

Computed, not measured: a relaxed structure of MnPAuC at the PBE level of DFT.

Geometry as CIF:
```
data_MnPAuC
_cell_length_a 3.144
_cell_length_b 3.144
_cell_length_c 6.473
_cell_angle_alpha 90.00
_cell_angle_beta 90.00
_cell_angle_gamma 120.00
_space_group_name_H-M_alt 'P 1'
_space_group_IT_number 1
loop_
_space_group_symop_operation_xyz
'x,y,z'
loop_
_atom_site_label
_atom_site_type_symbol
_atom_site_fract_x
_atom_site_fract_y
_atom_site_fract_z
Mn1 Mn 0.000 0.000 0.000
P1 P 0.667 0.333 0.782
Au1 Au 0.667 0.333 0.413
C1 C 0.667 0.333 0.088
```

Results
Symmetry: P3m1 (156)
Energy relative to the elements, eV per atom: 0.255
Total energy, eV/atom: -6.516
Energy above the lowest structure with this stoichiometry, kJ/mol of formula units: 0
Crystal system: trigonal

=====

Computed, not measured: a relaxed structure of MnPb2AuC at the PBE level of DFT.

Geometry as CIF:
```
data_MnPb2AuC
_cell_length_a 5.068
_cell_length_b 5.068
_cell_length_c 4.769
_cell_angle_alpha 90.00
_cell_angle_beta 90.00
_cell_angle_gamma 90.00
_space_group_name_H-M_alt 'P 1'
_space_group_IT_number 1
loop_
_space_group_symop_operation_xyz
'x,y,z'
loop_
_atom_site_label
_atom_site_type_symbol
_atom_site_fract_x
_atom_site_fract_y
_atom_site_fract_z
Mn1 Mn 0.000 0.000 0.000
Pb1 Pb 0.000 0.500 0.000
Pb2 Pb 0.500 0.000 0.000
Au1 Au 0.000 0.000 0.500
C1 C 0.500 0.500 0.500
```

Results
Symmetry: P4/mmm (123)
Energy relative to the elements, eV per atom: 1.660
Total energy, eV/atom: -4.157
Crystal system: tetragonal